Record 1
Material: LaDy6HoEr2
Method: DFT, PBE
State: optimized geometry

Values from the calculation:
- E_tot: -0.165 Ha/atom
- DOS(E_F): 1.52 states/eV per atom
- SG: C2/c (15)
- E_form: 0.12 eV/atom
- M_tot: 0.00 μB/cell

Lattice parameters (Å, degrees): 8.794 8.794 9.404 92.67 92.67 116.78
Sites, in units of the cell vectors:
La: 0.034 0.966 0.750
La: 0.966 0.034 0.250
Dy: 0.010 0.555 0.681
Dy: 0.121 0.757 0.058
Dy: 0.243 0.879 0.442
Dy: 0.291 0.518 0.886
Dy: 0.445 0.990 0.819
Dy: 0.482 0.709 0.614
Dy: 0.518 0.291 0.386
Dy: 0.555 0.010 0.181
Dy: 0.709 0.482 0.114
Dy: 0.757 0.121 0.558
Dy: 0.879 0.243 0.942
Dy: 0.990 0.445 0.319
Ho: 0.412 0.588 0.250
Ho: 0.588 0.412 0.750
Er: 0.202 0.306 0.552
Er: 0.306 0.202 0.052
Er: 0.694 0.798 0.948
Er: 0.798 0.694 0.448

Record 2
Material: La2Dy2HoEr2
Method: DFT, PBE
State: optimized geometry

Values from the calculation:
- E_tot: -0.169 Ha/atom
- DOS(E_F): 1.61 states/eV per atom
- SG: C2/m (12)
- E_form: 0.08 eV/atom
- M_tot: 0.00 μB/cell

Lattice parameters (Å, degrees): 11.756 3.521 11.906 90.00 109.21 90.00
Sites, in units of the cell vectors:
La: 0.171 0.000 0.084
La: 0.329 0.500 0.916
La: 0.671 0.500 0.084
La: 0.829 0.000 0.916
Dy: 0.049 0.000 0.766
Dy: 0.451 0.500 0.234
Dy: 0.549 0.500 0.766
Dy: 0.951 0.000 0.234
Ho: 0.000 0.500 0.500
Ho: 0.500 0.000 0.500
Er: 0.227 0.500 0.367
Er: 0.273 0.000 0.633
Er: 0.727 0.000 0.367
Er: 0.773 0.500 0.633

Record 3
Material: LaDyHo2Er2
Method: DFT, PBE
State: optimized geometry

Values from the calculation:
- E_tot: -0.164 Ha/atom
- DOS(E_F): 1.49 states/eV per atom
- SG: Pnnm (58)
- E_form: 0.17 eV/atom
- M_tot: 0.00 μB/cell

Lattice parameters (Å, degrees): 6.923 16.030 3.532 90.00 90.00 90.00
Sites, in units of the cell vectors:
La: 0.000 0.000 0.000
La: 0.500 0.500 0.500
Dy: 0.000 0.500 0.500
Dy: 0.500 0.000 0.000
Ho: 0.249 0.342 0.000
Ho: 0.251 0.842 0.500
Ho: 0.749 0.158 0.500
Ho: 0.751 0.658 0.000
Er: 0.249 0.657 0.000
Er: 0.251 0.157 0.500
Er: 0.749 0.843 0.500
Er: 0.751 0.343 0.000

Record 4
Material: La2Dy6HoEr3
Method: DFT, PBE
State: optimized geometry

Values from the calculation:
- E_tot: -0.170 Ha/atom
- DOS(E_F): 1.38 states/eV per atom
- SG: C2/m (12)
- E_form: 0.02 eV/atom
- M_tot: 0.00 μB/cell

Lattice parameters (Å, degrees): 6.181 6.181 11.817 94.99 94.99 120.00
Sites, in units of the cell vectors:
La: 0.166 0.834 0.000
La: 0.834 0.166 0.000
Dy: 0.083 0.414 0.745
Dy: 0.254 0.254 0.255
Dy: 0.414 0.083 0.745
Dy: 0.586 0.917 0.255
Dy: 0.746 0.746 0.745
Dy: 0.917 0.586 0.255
Ho: 0.500 0.500 0.000
Er: 0.000 0.000 0.500
Er: 0.334 0.666 0.500
Er: 0.666 0.334 0.500

Record 5
Material: LaDyHoEr
Method: DFT, PBE
State: optimized geometry

Values from the calculation:
- E_tot: -0.167 Ha/atom
- DOS(E_F): 1.74 states/eV per atom
- SG: F-43m (216)
- E_form: 0.11 eV/atom
- M_tot: 0.03 μB/cell
- Distance to the lowest polymorph of the same formula: 0.0852 eV per atom

Lattice parameters (Å, degrees): 8.085 8.085 8.085 90.00 90.00 90.00
Sites, in units of the cell vectors:
La: 0.000 0.000 0.000
La: 0.000 0.500 0.500
La: 0.500 0.000 0.500
La: 0.500 0.500 0.000
Dy: 0.000 0.000 0.500
Dy: 0.000 0.500 0.000
Dy: 0.500 0.000 0.000
Dy: 0.500 0.500 0.500
Ho: 0.250 0.250 0.750
Ho: 0.250 0.750 0.250
Ho: 0.750 0.250 0.250
Ho: 0.750 0.750 0.750
Er: 0.250 0.250 0.250
Er: 0.250 0.750 0.750
Er: 0.750 0.250 0.750
Er: 0.750 0.750 0.250

Record 6
Material: La2DyHo3Er6
Method: DFT, PBE
State: optimized geometry

Values from the calculation:
- E_tot: -0.169 Ha/atom
- DOS(E_F): 1.35 states/eV per atom
- SG: C2/m (12)
- E_form: 0.02 eV/atom
- M_tot: 0.00 μB/cell

Lattice parameters (Å, degrees): 6.163 6.163 11.748 95.01 95.01 119.98
Sites, in units of the cell vectors:
La: 0.166 0.834 0.000
La: 0.834 0.166 0.000
Dy: 0.500 0.500 0.000
Ho: 0.000 0.000 0.500
Ho: 0.333 0.667 0.500
Ho: 0.667 0.333 0.500
Er: 0.082 0.414 0.745
Er: 0.253 0.253 0.255
Er: 0.414 0.082 0.745
Er: 0.586 0.918 0.255
Er: 0.747 0.747 0.745
Er: 0.918 0.586 0.255

Record 7
Material: LaDyHoEr2
Method: DFT, PBE
State: optimized geometry

Values from the calculation:
- E_tot: -0.158 Ha/atom
- DOS(E_F): 1.31 states/eV per atom
- SG: Cmcm (63)
- E_form: 0.36 eV/atom
- M_tot: 0.00 μB/cell

Lattice parameters (Å, degrees): 7.119 7.119 7.209 90.00 90.00 107.71
Sites, in units of the cell vectors:
La: 0.233 0.767 0.750
La: 0.767 0.233 0.250
Dy: 0.218 0.782 0.250
Dy: 0.782 0.218 0.750
Ho: 0.497 0.503 0.250
Ho: 0.503 0.497 0.750
Er: 0.190 0.190 0.000
Er: 0.190 0.190 0.500
Er: 0.810 0.810 0.000
Er: 0.810 0.810 0.500

Record 8
Material: La2DyHoEr
Method: DFT, PBE
State: optimized geometry

Values from the calculation:
- E_tot: -0.164 Ha/atom
- DOS(E_F): 1.30 states/eV per atom
- SG: Pmma (51)
- E_form: 0.25 eV/atom
- M_tot: 0.00 μB/cell

Lattice parameters (Å, degrees): 6.390 7.855 6.801 90.00 90.00 90.00
Sites, in units of the cell vectors:
La: 0.250 0.201 0.207
La: 0.250 0.799 0.207
La: 0.750 0.201 0.793
La: 0.750 0.799 0.793
Dy: 0.250 0.000 0.680
Dy: 0.750 0.000 0.320
Ho: 0.000 0.500 0.500
Ho: 0.500 0.500 0.500
Er: 0.250 0.500 0.906
Er: 0.750 0.500 0.094

Record 9
Material: La2DyHo5Er
Method: DFT, PBE
State: optimized geometry

Values from the calculation:
- E_tot: -0.166 Ha/atom
- DOS(E_F): 1.34 states/eV per atom
- SG: Cmc2_1 (36)
- E_form: 0.14 eV/atom
- M_tot: 0.00 μB/cell

Lattice parameters (Å, degrees): 10.283 10.283 10.713 90.00 90.00 148.20
Sites, in units of the cell vectors:
La: 0.113 0.887 0.500
La: 0.116 0.884 0.085
La: 0.884 0.116 0.585
La: 0.887 0.113 0.000
Dy: 0.413 0.587 0.228
Dy: 0.587 0.413 0.728
Ho: 0.017 0.983 0.791
Ho: 0.282 0.718 0.074
Ho: 0.299 0.701 0.473
Ho: 0.388 0.612 0.787
Ho: 0.480 0.520 0.506
Ho: 0.520 0.480 0.006
Ho: 0.612 0.388 0.287
Ho: 0.701 0.299 0.973
Ho: 0.718 0.282 0.574
Ho: 0.983 0.017 0.291
Er: 0.201 0.799 0.778
Er: 0.799 0.201 0.278

Record 10
Material: La3Dy2HoEr6
Method: DFT, PBE
State: optimized geometry

Values from the calculation:
- E_tot: -0.170 Ha/atom
- DOS(E_F): 1.34 states/eV per atom
- SG: C2/m (12)
- E_form: 0.02 eV/atom
- M_tot: 0.00 μB/cell

Lattice parameters (Å, degrees): 6.201 6.201 11.785 95.02 95.02 119.99
Sites, in units of the cell vectors:
La: 0.000 0.000 0.000
La: 0.333 0.667 0.000
La: 0.667 0.333 0.000
Dy: 0.167 0.833 0.500
Dy: 0.833 0.167 0.500
Ho: 0.500 0.500 0.500
Er: 0.086 0.419 0.256
Er: 0.248 0.248 0.744
Er: 0.419 0.086 0.256
Er: 0.581 0.914 0.744
Er: 0.752 0.752 0.256
Er: 0.914 0.581 0.744

Record 11
Material: La3Dy6HoEr2
Method: DFT, PBE
State: optimized geometry

Values from the calculation:
- E_tot: -0.171 Ha/atom
- DOS(E_F): 1.42 states/eV per atom
- SG: C2/m (12)
- E_form: 0.02 eV/atom
- M_tot: 0.00 μB/cell

Lattice parameters (Å, degrees): 6.215 6.215 11.871 95.01 95.01 120.02
Sites, in units of the cell vectors:
La: 0.000 0.000 0.000
La: 0.333 0.667 0.000
La: 0.667 0.333 0.000
Dy: 0.086 0.419 0.257
Dy: 0.247 0.247 0.743
Dy: 0.419 0.086 0.257
Dy: 0.581 0.914 0.743
Dy: 0.753 0.753 0.257
Dy: 0.914 0.581 0.743
Ho: 0.500 0.500 0.500
Er: 0.167 0.833 0.500
Er: 0.833 0.167 0.500

Record 12
Material: La2DyHo4Er
Method: DFT, PBE
State: optimized geometry

Values from the calculation:
- E_tot: -0.171 Ha/atom
- DOS(E_F): 1.37 states/eV per atom
- SG: C2/m (12)
- E_form: 0.02 eV/atom
- M_tot: 0.00 μB/cell

Lattice parameters (Å, degrees): 7.161 7.161 12.383 106.80 106.80 60.00
Sites, in units of the cell vectors:
La: 0.000 0.000 0.000
La: 0.000 0.000 0.500
La: 0.000 0.500 0.000
La: 0.500 0.000 0.000
Dy: 0.000 0.500 0.500
Dy: 0.500 0.000 0.500
Ho: 0.250 0.250 0.748
Ho: 0.250 0.748 0.748
Ho: 0.251 0.251 0.254
Ho: 0.252 0.750 0.252
Ho: 0.748 0.250 0.748
Ho: 0.749 0.749 0.746
Ho: 0.750 0.252 0.252
Ho: 0.750 0.750 0.252
Er: 0.500 0.500 0.000
Er: 0.500 0.500 0.500